[1]
Here is a PBEsol-optimized structure of CrW3 from Alexandria. Energies are from meta-GGA SCAN.

Geometry as POSCAR:
```
CrW3
1.0
1.4501 0.8372 8.2391
-1.4501 0.8372 8.2391
0.0000 -1.6744 8.2391
Cr W
1 3
Cartesian
0.0000 0.0000 0.0000 Cr
0.0000 0.0000 6.3096 W
0.0000 0.0000 12.3586 W
0.0000 0.0000 18.4076 W
```

* magnetization: 0.00 μB/cell
* V: 15.00 Å³/atom
* SG: R-3m, No. 166
* calculated formation energy: 475 meV/atom

***

[2]
Here is a PBEsol-optimized structure of CrW3 from Alexandria. Energies are from meta-GGA SCAN.

Geometry as POSCAR:
```
CrW3
1.0
4.4542 0.0000 0.0000
0.0000 4.4542 0.0000
0.0000 0.0000 4.4542
Cr W
1 3
Cartesian
0.0000 0.0000 0.0000 Cr
0.0000 0.0000 2.2271 W
0.0000 2.2271 0.0000 W
2.2271 0.0000 0.0000 W
```

* magnetization: 0.00 μB/cell
* V: 22.09 Å³/atom
* SG: Pm-3m, No. 221
* calculated formation energy: 2612 meV/atom